Compound: U6N5
Source: Alexandria
Functional: PBE-GGA
Structure: relaxed

## Properties
electronic total energy	-11.00	eV/atom
uncorrected formation energy	-1.061	eV/atom

abc: 5.929 10.223 5.870
angles: 90.00 109.99 90.00
Space group C2/m (No. 12)
Inequivalent atoms, fractional coordinates:
1 U 0.243 0.000 0.251
2 U 0.243 0.162 0.745
3 N 0.000 0.178 0.000
4 N 0.000 0.334 0.500
5 N 0.000 0.500 0.000